Entry 1:
This record from Alexandria describes a geometry-optimized AsHSeBr2 structure. The functional is GGA-PBE.

a = 5.3734 Å, b = 5.3734 Å, c = 3.4584 Å
α = 90.00°, β = 90.00°, γ = 90.00°
Closest atoms and distances in Å follow each position.
Space group P4/mmm (No. 123)
Symmetry-distinct sites (fractional):
1 As 0.0000 0.0000 0.0000 x1  2 H 1.73
2 H 0.0000 0.0000 0.5000 x1  2 As 1.73
3 Se 0.5000 0.5000 0.0000 x1  8 Br 3.20, 2 Se 3.46
4 Br 0.0000 0.5000 0.5000 x2  2 H 2.69

Summary:
ρ: 5.2 g/cm3
crystal system: tetragonal
total magnetic moment: 0.6 Bohr magnetons per cell


Entry 2:
This record from Alexandria describes a geometry-optimized AsHSeBr2 structure. The functional is GGA-PBE.

a = 5.5186 Å, b = 5.5186 Å, c = 5.1748 Å
α = 90.00°, β = 90.00°, γ = 90.00°
Closest atoms and distances in Å follow each position.
Space group P4/mmm (No. 123)
Symmetry-distinct sites (fractional):
1 As 0.0000 0.0000 0.0000 x1  2 Se 2.59
2 H 0.5000 0.5000 0.0000 x1  8 Br 3.78, 4 As 3.90
3 Se 0.0000 0.0000 0.5000 x1  2 As 2.59, 4 Br 2.76
4 Br 0.0000 0.5000 0.5000 x2  2 Se 2.76

Summary:
ρ: 3.3 g/cm3
crystal system: tetragonal
total magnetic moment: 2.3 Bohr magnetons per cell


Entry 3:
This record from Alexandria describes a geometry-optimized AsHSeBr2 structure. The functional is GGA-PBE.

a = 5.3870 Å, b = 5.3870 Å, c = 4.9859 Å
α = 90.00°, β = 90.00°, γ = 90.00°
Closest atoms and distances in Å follow each position.
Space group P4/mmm (No. 123)
Symmetry-distinct sites (fractional):
1 As 0.0000 0.0000 0.0000 x1  2 Se 2.49, 4 Br 2.69
2 H 0.5000 0.5000 0.5000 x1  8 Br 3.67, 4 Se 3.81
3 Se 0.0000 0.0000 0.5000 x1  2 As 2.49
4 Br 0.0000 0.5000 0.0000 x2  2 As 2.69

Summary:
ρ: 3.6 g/cm3
crystal system: tetragonal
total magnetic moment: 1.4 Bohr magnetons per cell


Entry 4:
This record from Alexandria describes a geometry-optimized AsHSeBr2 structure. The functional is GGA-PBE.

a = 5.3316 Å, b = 5.3316 Å, c = 3.5148 Å
α = 90.00°, β = 90.00°, γ = 90.00°
Closest atoms and distances in Å follow each position.
Space group P4/mmm (No. 123)
Symmetry-distinct sites (fractional):
1 As 0.0000 0.0000 0.0000 x1  8 Br 3.19, 2 As 3.51
2 H 0.5000 0.5000 0.5000 x1  2 Se 1.76
3 Se 0.5000 0.5000 0.0000 x1  2 H 1.76
4 Br 0.0000 0.5000 0.5000 x2  2 H 2.67

Summary:
ρ: 5.2 g/cm3
crystal system: tetragonal
total magnetic moment: 0.8 Bohr magnetons per cell


Entry 5:
This record from Alexandria describes a geometry-optimized SiAsHBr2 structure. The functional is GGA-PBE.

a = 5.2617 Å, b = 5.2617 Å, c = 4.9103 Å
α = 90.00°, β = 90.00°, γ = 90.00°
Closest atoms and distances in Å follow each position.
Space group P4/mmm (No. 123)
Symmetry-distinct sites (fractional):
1 Si 0.0000 0.0000 0.0000 x1  2 As 2.46, 4 Br 2.63
2 As 0.0000 0.0000 0.5000 x1  2 Si 2.46
3 H 0.5000 0.5000 0.5000 x1  8 Br 3.60, 4 As 3.72
4 Br 0.0000 0.5000 0.0000 x2  2 Si 2.63

Summary:
ρ: 3.2 g/cm3
crystal system: tetragonal
total magnetic moment: 2.7 Bohr magnetons per cell


Entry 6:
This record from Alexandria describes a geometry-optimized SiAs2HBr structure. The functional is GGA-PBE.

a = 3.9893 Å, b = 3.9893 Å, c = 5.7847 Å
α = 90.00°, β = 90.00°, γ = 90.00°
Closest atoms and distances in Å follow each position.
Space group P4/mmm (No. 123)
Symmetry-distinct sites (fractional):
1 Si 0.0000 0.0000 0.0000 x1  4 Br 2.82
2 As 0.0000 0.5000 0.5000 x2  2 H 1.99
3 H 0.5000 0.5000 0.5000 x1  4 As 1.99
4 Br 0.5000 0.5000 0.0000 x1  4 Si 2.82, 2 H 2.89

Summary:
ρ: 4.7 g/cm3
crystal system: tetragonal
total magnetic moment: 0.0 Bohr magnetons per cell


Number 1: DFT total energy -2.29 eV per atom. Number 2: DFT total energy -2.17 eV per atom. Number 3: DFT total energy -2.43 eV per atom. Number 4: DFT total energy -2.31 eV per atom. Number 5: DFT total energy -2.70 eV per atom. Number 6: DFT total energy -3.27 eV per atom.